VASP calculation (PBE+U) on Rb3CaW2O8 after structural relaxation.

Summary:
Total energy ... -87.9 eV per cell
Magnetic moment ... 0.99 μB/cell

Cell lengths 6.285, 6.285, 8.053 Å; angles 90.00, 90.00, 120.00 degrees
Sites, in units of the cell vectors:
Rb 0.000 0.000 0.000
Rb 0.333 0.667 0.674
Rb 0.667 0.333 0.326
Ca 0.000 0.000 0.500
W 0.333 0.667 0.235
W 0.667 0.333 0.765
O 0.175 0.349 0.322
O 0.175 0.825 0.322
O 0.333 0.667 0.010
O 0.349 0.175 0.678
O 0.651 0.825 0.322
O 0.667 0.333 0.990
O 0.825 0.175 0.678
O 0.825 0.651 0.678